(1)
## RbZr2TcMo (PBE)

Data for a relaxed structure of RbZr2TcMo.

Output
Energy relative to the elements = 1.8115 eV per atom
DOS at the Fermi energy = 1.0228 states/eV per atom

abc: 5.0246 5.0246 5.4854
angles: 90.00 90.00 90.00
Space group P4/mmm (No. 123)
One atom of each set of equivalent atoms:
Rb  0.0000  0.0000  0.0000
Zr  0.0000  0.5000  0.5000
Tc  0.5000  0.5000  0.0000
Mo  0.0000  0.0000  0.5000

***

(2)
## RbTeMo3 (PBE)

Data for a relaxed structure of RbTeMo3.

Output
Polymorph energy (0 for the lowest one) = 0 meV per atom
DOS at the Fermi energy = 0.7675 states/eV per atom
Uncorrected formation energy = 955 kJ/mol of formula units

abc: 5.1426 5.1426 5.1426
angles: 90.00 90.00 90.00
Space group Pm-3m (No. 221)
One atom of each set of equivalent atoms:
Rb  0.0000  0.0000  0.0000
Te  0.5000  0.5000  0.5000
Mo  0.0000  0.5000  0.5000

***

(3)
## Rb2Te4Mo (PBE)

Data for a relaxed structure of Rb2Te4Mo.

Output
DOS at the Fermi energy = 1.2158 states/eV per atom
Uncorrected formation energy = -180 kJ/mol of formula units

abc: 5.3548 5.3548 18.9058
angles: 90.00 90.00 90.00
Space group I4/mmm (No. 139)
One atom of each set of equivalent atoms:
Rb  0.0000  0.0000  0.1542
Te  0.0000  0.0000  0.3514
Te  0.0000  0.5000  0.0000
Mo  0.0000  0.0000  0.5000

***

(4)
## RbTeMo3 (PBE)

Data for a relaxed structure of RbTeMo3.

Output
Polymorph energy (0 for the lowest one) = 1197 meV per atom
DOS at the Fermi energy = 0.7217 states/eV per atom
Uncorrected formation energy = 1533 kJ/mol of formula units

abc: 4.8066 4.8066 4.8066
angles: 90.00 90.00 90.00
Space group Pm-3m (No. 221)
One atom of each set of equivalent atoms:
Rb  0.0000  0.0000  0.0000
Te  0.5000  0.5000  0.5000
Mo  0.0000  0.0000  0.5000

***

(5)
## RbTi2TeMo (PBE)

Data for a relaxed structure of RbTi2TeMo.

Output
DOS at the Fermi energy = 1.3783 states/eV per atom
Uncorrected formation energy = 294 kJ/mol of formula units

abc: 4.9075 4.9075 5.5582
angles: 90.00 90.00 90.00
Space group P4/mmm (No. 123)
One atom of each set of equivalent atoms:
Rb  0.0000  0.0000  0.0000
Ti  0.0000  0.5000  0.5000
Te  0.5000  0.5000  0.0000
Mo  0.5000  0.5000  0.5000

***

(6)
## Rb2ZnTeMo (PBE)

Data for a relaxed structure of Rb2ZnTeMo.

Output
DOS at the Fermi energy = 0.5606 states/eV per atom
Uncorrected formation energy = 277 kJ/mol of formula units

abc: 7.0971 7.0971 5.2368
angles: 90.00 90.00 90.00
Space group P4/mmm (No. 123)
One atom of each set of equivalent atoms:
Rb  0.0000  0.5000  0.0000
Zn  0.0000  0.0000  0.5000
Te  0.5000  0.5000  0.5000
Mo  0.5000  0.5000  0.0000

***

(7)
## RbTi2Mo (PBE)

Data for a relaxed structure of RbTi2Mo.

Output
Energy relative to the elements = 1.3300 eV per atom
Polymorph energy (0 for the lowest one) = 0 meV per atom
DOS at the Fermi energy = 1.7197 states/eV per atom

abc: 6.8367 6.8367 6.8367
angles: 90.00 90.00 90.00
Space group Fm-3m (No. 225)
One atom of each set of equivalent atoms:
Rb  0.0000  0.0000  0.0000
Ti  0.2500  0.2500  0.2500
Mo  0.0000  0.0000  0.5000

***

(8)
## RbTiMo3 (PBE)

Data for a relaxed structure of RbTiMo3.

Output
Energy relative to the elements = 3.0793 eV per atom
Polymorph energy (0 for the lowest one) = 1122 meV per atom
DOS at the Fermi energy = 1.2406 states/eV per atom

abc: 4.6663 4.6663 4.6663
angles: 90.00 90.00 90.00
Space group Pm-3m (No. 221)
One atom of each set of equivalent atoms:
Rb  0.0000  0.0000  0.0000
Ti  0.5000  0.5000  0.5000
Mo  0.0000  0.0000  0.5000

***

(9)
## RbTiMo3 (PBE)

Data for a relaxed structure of RbTiMo3.

Output
Energy relative to the elements = 1.9568 eV per atom
Polymorph energy (0 for the lowest one) = 0 meV per atom
DOS at the Fermi energy = 2.0353 states/eV per atom

abc: 4.8479 4.8479 4.8479
angles: 90.00 90.00 90.00
Space group Pm-3m (No. 221)
One atom of each set of equivalent atoms:
Rb  0.0000  0.0000  0.0000
Ti  0.5000  0.5000  0.5000
Mo  0.0000  0.5000  0.5000

***

(10)
## RbTiMo2 (PBE)

Data for a relaxed structure of RbTiMo2.

Output
Energy relative to the elements = 1.7709 eV per atom
Polymorph energy (0 for the lowest one) = 38 meV per atom
DOS at the Fermi energy = 2.1154 states/eV per atom

abc: 6.7358 6.7358 6.7358
angles: 90.00 90.00 90.00
Space group Fm-3m (No. 225)
One atom of each set of equivalent atoms:
Rb  0.0000  0.0000  0.0000
Ti  0.0000  0.0000  0.5000
Mo  0.2500  0.2500  0.2500

***

(11)
## RbTiMo2 (PBE)

Data for a relaxed structure of RbTiMo2.

Output
Energy relative to the elements = 1.7331 eV per atom
Polymorph energy (0 for the lowest one) = 0 meV per atom
DOS at the Fermi energy = 1.5127 states/eV per atom

abc: 4.9357 4.9357 18.1484
angles: 90.00 90.00 90.00
Space group I-42d (No. 122)
One atom of each set of equivalent atoms:
Rb  0.0000  0.0000  0.0000
Ti  0.0000  0.0000  0.5000
Mo  0.0411  0.2500  0.6250

***

(12)
## RbTi2Mo (PBE)

Data for a relaxed structure of RbTi2Mo.

Output
Energy relative to the elements = 1.3426 eV per atom
Polymorph energy (0 for the lowest one) = 13 meV per atom
DOS at the Fermi energy = 1.3060 states/eV per atom

abc: 7.5114 7.5114 10.6459
angles: 90.00 90.00 90.00
Space group I4_1/amd (No. 141, origin choice 2)
One atom of each set of equivalent atoms:
Rb  0.0000  0.2500  0.3750
Ti  0.0000  0.0000  0.0000
Mo  0.0000  0.2500  0.8750

***

(13)
## RbTiV2Mo (PBE)

Data for a relaxed structure of RbTiV2Mo.

Output
Energy relative to the elements = 1.7950 eV per atom
DOS at the Fermi energy = 2.0376 states/eV per atom

abc: 4.8149 4.8149 4.7775
angles: 90.00 90.00 90.00
Space group P4/mmm (No. 123)
One atom of each set of equivalent atoms:
Rb  0.0000  0.0000  0.0000
Ti  0.5000  0.5000  0.5000
V  0.0000  0.5000  0.5000
Mo  0.5000  0.5000  0.0000

***

(14)
## RbTi2MoW (PBE)

Data for a relaxed structure of RbTi2MoW.

Output
Energy relative to the elements = 2.1712 eV per atom
DOS at the Fermi energy = 1.7540 states/eV per atom

abc: 4.7721 4.7721 5.3980
angles: 90.00 90.00 90.00
Space group P4/mmm (No. 123)
One atom of each set of equivalent atoms:
Rb  0.0000  0.0000  0.0000
Ti  0.0000  0.5000  0.5000
Mo  0.0000  0.0000  0.5000
W  0.5000  0.5000  0.0000